(1)
Compound: CeNdTh3
Source: Alexandria
Functional: PBE
Structure: optimized geometry

N(E_F) (states/eV/atom): 1.692
Volume (Å³/cell): 318.3
ρ (g/cm³): 10.23
Formation enthalpy at 0 K (eV/atom): 0.042

POSCAR file:
```
CeNdTh3
1.0
3.556 0.000 0.000
-1.778 3.080 0.000
0.000 0.000 29.069
Ce Nd Th
2 2 6
Cartesian
0.000 2.053 0.000
1.778 1.027 14.534
0.000 0.000 8.819
0.000 0.000 23.353
0.000 0.000 2.827
0.000 0.000 17.361
0.000 2.053 11.754
0.000 2.053 20.248
1.778 1.027 5.714
1.778 1.027 26.289
```



(2)
Compound: Ce4NdTh
Source: Alexandria
Functional: PBE
Structure: optimized geometry

N(E_F) (states/eV/atom): 3.248
Volume (Å³/cell): 175.5
ρ (g/cm³): 8.86
Formation enthalpy at 0 K (eV/atom): 0.190

POSCAR file:
```
Ce4NdTh
1.0
0.000 4.444 4.444
4.444 0.000 4.444
4.444 4.444 0.000
Ce Nd Th
4 1 1
Cartesian
1.095 1.095 1.095
3.350 3.350 1.095
3.350 1.095 3.350
1.095 3.350 3.350
4.444 4.444 4.444
6.666 6.666 6.666
```